1.
# Mn2CoRe2 (PBE, optimized geometry)
# energy = -9.532 eV/atom
# formation energy = 536 meV/atom
data_Mn2CoRe2
_cell_length_a 3.026
_cell_length_b 3.026
_cell_length_c 14.426
_cell_angle_alpha 90.00
_cell_angle_beta 90.00
_cell_angle_gamma 90.00
_space_group_name_H-M_alt 'I 4/m m m'
_space_group_IT_number 139
_space_group_name_Hall '-I 4 2'
loop_
_atom_site_label
_atom_site_fract_x
_atom_site_fract_y
_atom_site_fract_z
_atom_site_occupancy
Mn1 0.000 0.500 0.250 1
Co1 0.000 0.000 0.000 1
Re1 0.000 0.000 0.397 1

---

2.
# MnCo6Re (PBE, optimized geometry)
# energy = -7.980 eV/atom
# formation energy = 51 meV/atom
data_MnCo6Re
_cell_length_a 7.091
_cell_length_b 10.044
_cell_length_c 10.039
_cell_angle_alpha 90.00
_cell_angle_beta 90.00
_cell_angle_gamma 90.00
_space_group_name_H-M_alt 'C m m m'
_space_group_IT_number 65
_space_group_name_Hall '-C 2 2'
loop_
_atom_site_label
_atom_site_fract_x
_atom_site_fract_y
_atom_site_fract_z
_atom_site_occupancy
Mn1 0.000 0.000 0.247 1
Mn2 0.000 0.252 0.000 1
Co1 0.000 0.000 0.000 1
Co2 0.000 0.000 0.500 1
Co3 0.000 0.251 0.251 1
Co4 0.000 0.500 0.000 1
Co5 0.000 0.500 0.500 1
Co6 0.250 0.125 0.124 1
Co7 0.250 0.125 0.375 1
Re1 0.000 0.251 0.500 1
Re2 0.000 0.500 0.246 1